Record 1
A relaxed Sm3Y2Sc crystal. Source: Alexandria, functional GGA-PBE.

a b c (Å): 6.125 6.125 11.788
angles (deg): 110.12 110.12 71.08
Element x y z (fractional)
Sm (0.125, 0.875, 0.750)
Sm (0.209, 0.459, 0.918)
Sm (0.459, 0.209, 0.418)
Sm (0.541, 0.791, 0.582)
Sm (0.791, 0.541, 0.082)
Sm (0.875, 0.125, 0.250)
Y (0.043, 0.294, 0.588)
Y (0.294, 0.043, 0.088)
Y (0.706, 0.957, 0.912)
Y (0.957, 0.706, 0.412)
Sc (0.375, 0.625, 0.250)
Sc (0.625, 0.375, 0.750)

Calculated values
size of the total moment	0.00	μB per atom
energy above the lowest structure with this stoichiometry	0	meV/atom
Fermi-level density of states	9.34	states/eV/f.u.

Record 2
A relaxed SmY6Sc3 crystal. Source: Alexandria, functional GGA-PBE.

a b c (Å): 10.719 10.719 6.266
angles (deg): 90.00 90.00 122.63
Element x y z (fractional)
Sm (0.212, 0.788, 0.500)
Sm (0.788, 0.212, 0.000)
Y (0.031, 0.435, 0.653)
Y (0.045, 0.955, 0.144)
Y (0.296, 0.364, 0.826)
Y (0.311, 0.689, 0.974)
Y (0.364, 0.296, 0.326)
Y (0.435, 0.031, 0.153)
Y (0.565, 0.969, 0.653)
Y (0.636, 0.704, 0.826)
Y (0.689, 0.311, 0.474)
Y (0.704, 0.636, 0.326)
Y (0.955, 0.045, 0.644)
Y (0.969, 0.565, 0.153)
Sc (0.078, 0.309, 0.217)
Sc (0.309, 0.078, 0.717)
Sc (0.385, 0.615, 0.430)
Sc (0.615, 0.385, 0.930)
Sc (0.691, 0.922, 0.217)
Sc (0.922, 0.691, 0.717)

Calculated values
size of the total moment	0.00	μB per atom
energy above the lowest structure with this stoichiometry	108	meV/atom
Fermi-level density of states	12.88	states/eV/f.u.

Record 3
A relaxed Sm2Y8Sc crystal. Source: Alexandria, functional GGA-PBE.

a b c (Å): 9.946 9.946 5.678
angles (deg): 92.39 92.39 40.90
Element x y z (fractional)
Sm (0.218, 0.218, 0.253)
Sm (0.782, 0.782, 0.747)
Y (0.047, 0.047, 0.232)
Y (0.110, 0.637, 0.263)
Y (0.318, 0.318, 0.767)
Y (0.363, 0.890, 0.737)
Y (0.637, 0.110, 0.263)
Y (0.682, 0.682, 0.233)
Y (0.890, 0.363, 0.737)
Y (0.953, 0.953, 0.768)
Sc (0.500, 0.500, 0.000)

Calculated values
size of the total moment	0.00	μB per atom
energy above the lowest structure with this stoichiometry	18	meV/atom
Fermi-level density of states	18.89	states/eV/f.u.

Record 4
A relaxed Sm2YSc2 crystal. Source: Alexandria, functional GGA-PBE.

a b c (Å): 9.173 9.173 9.173
angles (deg): 145.01 136.56 56.95
Element x y z (fractional)
Sm (0.255, 0.005, 0.250)
Sm (0.378, 0.628, 0.750)
Sm (0.622, 0.372, 0.250)
Sm (0.745, 0.995, 0.750)
Y (0.128, 0.378, 0.750)
Y (0.872, 0.622, 0.250)
Sc (0.189, 0.193, 0.996)
Sc (0.303, 0.807, 0.496)
Sc (0.697, 0.193, 0.504)
Sc (0.811, 0.807, 0.004)

Calculated values
size of the total moment	0.00	μB per atom
energy above the lowest structure with this stoichiometry	77	meV/atom
Fermi-level density of states	9.67	states/eV/f.u.

Record 5
A relaxed SmYScZn crystal. Source: Alexandria, functional GGA-PBE.

a b c (Å): 5.263 5.263 5.263
angles (deg): 60.00 60.00 60.00
Element x y z (fractional)
Sm (0.000, 0.000, 0.000)
Y (0.500, 0.500, 0.500)
Sc (0.750, 0.750, 0.750)
Zn (0.250, 0.250, 0.250)

Calculated values
size of the total moment	0.00	μB per atom
energy above the lowest structure with this stoichiometry	143	meV/atom
Fermi-level density of states	4.64	states/eV/f.u.

Record 6
A relaxed SmYScZn crystal. Source: Alexandria, functional GGA-PBE.

a b c (Å): 3.488 3.488 8.536
angles (deg): 90.00 90.00 90.00
Element x y z (fractional)
Sm (0.000, 0.000, 0.000)
Y (0.500, 0.500, 0.686)
Sc (0.500, 0.500, 0.285)
Zn (0.000, 0.000, 0.460)

Calculated values
size of the total moment	0.00	μB per atom
energy above the lowest structure with this stoichiometry	0	meV/atom
Fermi-level density of states	4.14	states/eV/f.u.

Record 7
A relaxed SmYZrSc crystal. Source: Alexandria, functional GGA-PBE.

a b c (Å): 5.399 5.399 5.399
angles (deg): 60.00 60.00 60.00
Element x y z (fractional)
Sm (0.000, 0.000, 0.000)
Y (0.750, 0.750, 0.750)
Zr (0.500, 0.500, 0.500)
Sc (0.250, 0.250, 0.250)

Calculated values
raw total energy	-6.31	eV/atom
size of the total moment	0.28	μB per atom
Fermi-level density of states	7.89	states/eV/f.u.

Record 8
A relaxed SmSc3Zn2 crystal. Source: Alexandria, functional GGA-PBE.

a b c (Å): 3.375 3.375 11.668
angles (deg): 90.00 90.00 90.00
Element x y z (fractional)
Sm (0.000, 0.000, 0.000)
Sc (0.500, 0.500, 0.217)
Sc (0.500, 0.500, 0.500)
Sc (0.500, 0.500, 0.783)
Zn (0.000, 0.000, 0.358)
Zn (0.000, 0.000, 0.642)

Calculated values
raw total energy	-4.60	eV/atom
size of the total moment	0.00	μB per atom
Fermi-level density of states	6.25	states/eV/f.u.

Record 9
A relaxed SmSc4Zn5 crystal. Source: Alexandria, functional GGA-PBE.

a b c (Å): 3.396 3.396 17.171
angles (deg): 90.00 90.00 90.00
Element x y z (fractional)
Sm (0.000, 0.000, 0.000)
Sc (0.000, 0.000, 0.211)
Sc (0.000, 0.000, 0.404)
Sc (0.000, 0.000, 0.596)
Sc (0.000, 0.000, 0.789)
Zn (0.500, 0.500, 0.119)
Zn (0.500, 0.500, 0.307)
Zn (0.500, 0.500, 0.500)
Zn (0.500, 0.500, 0.693)
Zn (0.500, 0.500, 0.881)

Calculated values
raw total energy	-3.99	eV/atom
size of the total moment	0.00	μB per atom
Fermi-level density of states	9.56	states/eV/f.u.

Record 10
A relaxed Sm2ScZn2 crystal. Source: Alexandria, functional GGA-PBE.

a b c (Å): 5.708 5.708 5.708
angles (deg): 132.23 110.61 88.62
Element x y z (fractional)
Sm (0.200, 0.200, 0.000)
Sm (0.800, 0.800, 0.000)
Sc (0.500, 0.000, 0.500)
Zn (0.212, 0.500, 0.712)
Zn (0.788, 0.500, 0.288)

Calculated values
raw total energy	-3.87	eV/atom
size of the total moment	0.00	μB per atom
Fermi-level density of states	6.57	states/eV/f.u.

Record 11
A relaxed SmSc5Zn6 crystal. Source: Alexandria, functional GGA-PBE.

a b c (Å): 8.315 8.315 4.786
angles (deg): 106.50 106.50 48.78
Element x y z (fractional)
Sm (0.000, 0.000, 0.000)
Sc (0.164, 0.164, 0.664)
Sc (0.331, 0.331, 0.331)
Sc (0.500, 0.500, 0.000)
Sc (0.669, 0.669, 0.669)
Sc (0.836, 0.836, 0.336)
Zn (0.090, 0.565, 0.828)
Zn (0.274, 0.726, 0.500)
Zn (0.435, 0.910, 0.172)
Zn (0.565, 0.090, 0.828)
Zn (0.726, 0.274, 0.500)
Zn (0.910, 0.435, 0.172)

Calculated values
raw total energy	-4.01	eV/atom
size of the total moment	0.00	μB per atom
Fermi-level density of states	12.70	states/eV/f.u.

Record 12
A relaxed SmSc2Zn3 crystal. Source: Alexandria, functional GGA-PBE.

a b c (Å): 3.440 3.440 10.393
angles (deg): 90.00 90.00 90.00
Element x y z (fractional)
Sm (0.000, 0.000, 0.000)
Sc (0.000, 0.000, 0.342)
Sc (0.000, 0.000, 0.658)
Zn (0.500, 0.500, 0.194)
Zn (0.500, 0.500, 0.500)
Zn (0.500, 0.500, 0.806)

Calculated values
raw total energy	-3.87	eV/atom
size of the total moment	0.00	μB per atom
Fermi-level density of states	6.20	states/eV/f.u.

Number 5 is which compound?
SmYScZn